[1]
Material: Cd3SeN
Method: DFT, GGA-PBE
State: relaxed

Its distance to the lowest polymorph of the same formula is 1.1599 eV/atom.

The space group is Pm-3m (No. 221) and the conventional cell measures 5.2992, 5.2992 and 5.2992 Å, with angles of 90.00, 90.00 and 90.00 degrees. The inequivalent atoms are Cd at (0.0000, 0.0000, 0.5000), Se at (0.0000, 0.0000, 0.0000) and N at (0.5000, 0.5000, 0.5000).



[2]
Material: CdSe3N
Method: DFT, GGA-PBE
State: relaxed

Its distance to the lowest polymorph of the same formula is 0.0000 eV/atom.

The space group is Pm-3m (No. 221) and the conventional cell measures 4.5174, 4.5174 and 4.5174 Å, with angles of 90.00, 90.00 and 90.00 degrees. The inequivalent atoms are Cd at (0.0000, 0.0000, 0.0000), Se at (0.0000, 0.5000, 0.5000) and N at (0.5000, 0.5000, 0.5000).



[3]
Material: CdSeN3
Method: DFT, GGA-PBE
State: relaxed

The space group is Pm-3m (No. 221) and the conventional cell measures 4.2500, 4.2500 and 4.2500 Å, with angles of 90.00, 90.00 and 90.00 degrees. The inequivalent atoms are Cd at (0.0000, 0.0000, 0.0000), Se at (0.5000, 0.5000, 0.5000) and N at (0.0000, 0.0000, 0.5000).



[4]
Material: CdSeN3
Method: DFT, GGA-PBE
State: relaxed

The space group is Pm-3m (No. 221) and the conventional cell measures 3.8462, 3.8462 and 3.8462 Å, with angles of 90.00, 90.00 and 90.00 degrees. The inequivalent atoms are Cd at (0.0000, 0.0000, 0.0000), Se at (0.5000, 0.5000, 0.5000) and N at (0.0000, 0.5000, 0.5000).



[5]
Material: Cd3SeN
Method: DFT, GGA-PBE
State: relaxed

Its distance to the lowest polymorph of the same formula is 0.0000 eV/atom.

The space group is Pm-3m (No. 221) and the conventional cell measures 4.6618, 4.6618 and 4.6618 Å, with angles of 90.00, 90.00 and 90.00 degrees. The inequivalent atoms are Cd at (0.0000, 0.0000, 0.5000), Se at (0.5000, 0.5000, 0.5000) and N at (0.0000, 0.0000, 0.0000).



[6]
Material: CdSiSe2N
Method: DFT, GGA-PBE
State: relaxed

Its distance to the lowest polymorph of the same formula is 1.1391 eV/atom.

The space group is P4/mmm (No. 123) and the conventional cell measures 5.3029, 5.3029 and 4.1635 Å, with angles of 90.00, 90.00 and 90.00 degrees. The inequivalent atoms are Cd at (0.0000, 0.0000, 0.0000), Si at (0.5000, 0.5000, 0.5000), Se at (0.0000, 0.5000, 0.0000) and N at (0.0000, 0.0000, 0.5000).



[7]
Material: CdSiSeN2
Method: DFT, GGA-PBE
State: relaxed

Its distance to the lowest polymorph of the same formula is 1.3456 eV/atom.

The space group is P4/mmm (No. 123) and the conventional cell measures 4.1921, 4.1921 and 5.9050 Å, with angles of 90.00, 90.00 and 90.00 degrees. The inequivalent atoms are Cd at (0.0000, 0.0000, 0.0000), Si at (0.5000, 0.5000, 0.5000), Se at (0.0000, 0.0000, 0.5000) and N at (0.0000, 0.5000, 0.0000).



[8]
Material: CdSiSe2N
Method: DFT, GGA-PBE
State: relaxed

Its distance to the lowest polymorph of the same formula is 0.0000 eV/atom.

The space group is P4/mmm (No. 123) and the conventional cell measures 5.2890, 5.2890 and 3.2796 Å, with angles of 90.00, 90.00 and 90.00 degrees. The inequivalent atoms are Cd at (0.0000, 0.0000, 0.0000), Si at (0.5000, 0.5000, 0.5000), Se at (0.0000, 0.5000, 0.5000) and N at (0.5000, 0.5000, 0.0000).



[9]
Material: CdSiSeN2
Method: DFT, GGA-PBE
State: relaxed

Its distance to the lowest polymorph of the same formula is 0.0000 eV/atom.

The space group is P4/mmm (No. 123) and the conventional cell measures 3.5843, 3.5843 and 6.2518 Å, with angles of 90.00, 90.00 and 90.00 degrees. The inequivalent atoms are Cd at (0.0000, 0.0000, 0.0000), Si at (0.5000, 0.5000, 0.5000), Se at (0.5000, 0.5000, 0.0000) and N at (0.0000, 0.5000, 0.5000).



[10]
Material: CdSnSeN2
Method: DFT, GGA-PBE
State: relaxed

Its distance to the lowest polymorph of the same formula is 0.3869 eV/atom.

The space group is P4/mmm (No. 123) and the conventional cell measures 4.3287, 4.3287 and 5.7767 Å, with angles of 90.00, 90.00 and 90.00 degrees. The inequivalent atoms are Cd at (0.0000, 0.0000, 0.0000), Sn at (0.5000, 0.5000, 0.5000), Se at (0.0000, 0.0000, 0.5000) and N at (0.0000, 0.5000, 0.0000).



[11]
Material: CdSnSeN2
Method: DFT, GGA-PBE
State: relaxed

Its distance to the lowest polymorph of the same formula is 0.0000 eV/atom.

The space group is P4/mmm (No. 123) and the conventional cell measures 4.1243, 4.1243 and 5.8369 Å, with angles of 90.00, 90.00 and 90.00 degrees. The inequivalent atoms are Cd at (0.0000, 0.0000, 0.0000), Sn at (0.5000, 0.5000, 0.5000), Se at (0.5000, 0.5000, 0.0000) and N at (0.0000, 0.5000, 0.5000).



[12]
Material: SrCd2SeN
Method: DFT, GGA-PBE
State: relaxed

The space group is P4/mmm (No. 123) and the conventional cell measures 6.5099, 6.5099 and 4.6799 Å, with angles of 90.00, 90.00 and 90.00 degrees. The inequivalent atoms are Sr at (0.0000, 0.0000, 0.0000), Cd at (0.0000, 0.5000, 0.0000), Se at (0.5000, 0.5000, 0.5000) and N at (0.0000, 0.0000, 0.5000).



[13]
Material: SrCdSe2N
Method: DFT, GGA-PBE
State: relaxed

Its distance to the lowest polymorph of the same formula is 0.6376 eV/atom.

The space group is P4/mmm (No. 123) and the conventional cell measures 5.8423, 5.8423 and 4.8422 Å, with angles of 90.00, 90.00 and 90.00 degrees. The inequivalent atoms are Sr at (0.0000, 0.0000, 0.0000), Cd at (0.5000, 0.5000, 0.5000), Se at (0.0000, 0.5000, 0.0000) and N at (0.0000, 0.0000, 0.5000).



[14]
Material: SrCdSe2N
Method: DFT, GGA-PBE
State: relaxed

Its distance to the lowest polymorph of the same formula is 0.0000 eV/atom.

The space group is P4/mmm (No. 123) and the conventional cell measures 5.4123, 5.4123 and 4.3287 Å, with angles of 90.00, 90.00 and 90.00 degrees. The inequivalent atoms are Sr at (0.0000, 0.0000, 0.0000), Cd at (0.5000, 0.5000, 0.5000), Se at (0.0000, 0.5000, 0.5000) and N at (0.5000, 0.5000, 0.0000).



[15]
Material: CdTcSe2N
Method: DFT, GGA-PBE
State: relaxed

Its distance to the lowest polymorph of the same formula is 1.5970 eV/atom.

The space group is P4/mmm (No. 123) and the conventional cell measures 5.2262, 5.2262 and 3.9788 Å, with angles of 90.00, 90.00 and 90.00 degrees. The inequivalent atoms are Cd at (0.0000, 0.0000, 0.0000), Tc at (0.5000, 0.5000, 0.5000), Se at (0.0000, 0.5000, 0.0000) and N at (0.0000, 0.0000, 0.5000).



[16]
Material: CdTcSe2N
Method: DFT, GGA-PBE
State: relaxed

Its distance to the lowest polymorph of the same formula is 0.0000 eV/atom.

The space group is P4/mmm (No. 123) and the conventional cell measures 5.1351, 5.1351 and 3.7168 Å, with angles of 90.00, 90.00 and 90.00 degrees. The inequivalent atoms are Cd at (0.0000, 0.0000, 0.0000), Tc at (0.5000, 0.5000, 0.5000), Se at (0.0000, 0.5000, 0.5000) and N at (0.5000, 0.5000, 0.0000).



[17]
Material: CdTcSeN2
Method: DFT, GGA-PBE
State: relaxed

Its distance to the lowest polymorph of the same formula is 0.0000 eV/atom.

The space group is P4/mmm (No. 123) and the conventional cell measures 3.8690, 3.8690 and 5.5411 Å, with angles of 90.00, 90.00 and 90.00 degrees. The inequivalent atoms are Cd at (0.0000, 0.0000, 0.0000), Tc at (0.5000, 0.5000, 0.5000), Se at (0.5000, 0.5000, 0.0000) and N at (0.0000, 0.5000, 0.5000).



[18]
Material: CdTcSeN2
Method: DFT, GGA-PBE
State: relaxed

Its distance to the lowest polymorph of the same formula is 1.9079 eV/atom.

The space group is P4/mmm (No. 123) and the conventional cell measures 4.0502, 4.0502 and 5.7013 Å, with angles of 90.00, 90.00 and 90.00 degrees. The inequivalent atoms are Cd at (0.0000, 0.0000, 0.0000), Tc at (0.5000, 0.5000, 0.5000), Se at (0.0000, 0.0000, 0.5000) and N at (0.0000, 0.5000, 0.0000).



[19]
Material: CdTeSeN2
Method: DFT, GGA-PBE
State: relaxed

Its distance to the lowest polymorph of the same formula is 0.3256 eV/atom.

The space group is P4/mmm (No. 123) and the conventional cell measures 3.9190, 3.9190 and 7.3468 Å, with angles of 90.00, 90.00 and 90.00 degrees. The inequivalent atoms are Cd at (0.0000, 0.0000, 0.0000), Te at (0.5000, 0.5000, 0.0000), Se at (0.5000, 0.5000, 0.5000) and N at (0.0000, 0.5000, 0.5000).



[20]
Material: CdTe2SeN
Method: DFT, GGA-PBE
State: relaxed

Its distance to the lowest polymorph of the same formula is 0.4863 eV/atom.

The space group is P4/mmm (No. 123) and the conventional cell measures 5.7242, 5.7242 and 4.1008 Å, with angles of 90.00, 90.00 and 90.00 degrees. The inequivalent atoms are Cd at (0.0000, 0.0000, 0.0000), Te at (0.0000, 0.5000, 0.0000), Se at (0.5000, 0.5000, 0.5000) and N at (0.0000, 0.0000, 0.5000).



[21]
Material: CdTe2SeN
Method: DFT, GGA-PBE
State: relaxed

Its distance to the lowest polymorph of the same formula is 0.0000 eV/atom.

The space group is P4/mmm (No. 123) and the conventional cell measures 4.7526, 4.7526 and 4.7326 Å, with angles of 90.00, 90.00 and 90.00 degrees. The inequivalent atoms are Cd at (0.0000, 0.0000, 0.0000), Te at (0.0000, 0.5000, 0.5000), Se at (0.5000, 0.5000, 0.0000) and N at (0.5000, 0.5000, 0.5000).



[22]
Material: CdTeSeN2
Method: DFT, GGA-PBE
State: relaxed

Its distance to the lowest polymorph of the same formula is 0.0000 eV/atom.

The space group is P4/mmm (No. 123) and the conventional cell measures 3.9903, 3.9903 and 6.0198 Å, with angles of 90.00, 90.00 and 90.00 degrees. The inequivalent atoms are Cd at (0.0000, 0.0000, 0.0000), Te at (0.5000, 0.5000, 0.5000), Se at (0.5000, 0.5000, 0.0000) and N at (0.0000, 0.5000, 0.5000).



[23]
Material: CdTeSeN2
Method: DFT, GGA-PBE
State: relaxed

Its distance to the lowest polymorph of the same formula is 0.5346 eV/atom.

The space group is P4/mmm (No. 123) and the conventional cell measures 4.2495, 4.2495 and 6.7072 Å, with angles of 90.00, 90.00 and 90.00 degrees. The inequivalent atoms are Cd at (0.0000, 0.0000, 0.0000), Te at (0.0000, 0.0000, 0.5000), Se at (0.5000, 0.5000, 0.5000) and N at (0.0000, 0.5000, 0.0000).



[24]
Material: CdTeSeN2
Method: DFT, GGA-PBE
State: relaxed

Its distance to the lowest polymorph of the same formula is 0.5161 eV/atom.

The space group is P4/mmm (No. 123) and the conventional cell measures 4.2816, 4.2816 and 6.2128 Å, with angles of 90.00, 90.00 and 90.00 degrees. The inequivalent atoms are Cd at (0.0000, 0.0000, 0.0000), Te at (0.5000, 0.5000, 0.5000), Se at (0.0000, 0.0000, 0.5000) and N at (0.0000, 0.5000, 0.0000).



[25]
Material: CdTe2SeN
Method: DFT, GGA-PBE
State: relaxed

Its distance to the lowest polymorph of the same formula is 0.1306 eV/atom.

The space group is P4/mmm (No. 123) and the conventional cell measures 5.8119, 5.8119 and 3.6862 Å, with angles of 90.00, 90.00 and 90.00 degrees. The inequivalent atoms are Cd at (0.0000, 0.0000, 0.0000), Te at (0.0000, 0.5000, 0.5000), Se at (0.5000, 0.5000, 0.5000) and N at (0.5000, 0.5000, 0.0000).



[26]
Material: TiCdSeN2
Method: DFT, GGA-PBE
State: relaxed

Its distance to the lowest polymorph of the same formula is 1.4512 eV/atom.

The space group is P4/mmm (No. 123) and the conventional cell measures 4.0808, 4.0808 and 5.2667 Å, with angles of 90.00, 90.00 and 90.00 degrees. The inequivalent atoms are Ti at (0.0000, 0.0000, 0.0000), Cd at (0.5000, 0.5000, 0.5000), Se at (0.5000, 0.5000, 0.0000) and N at (0.0000, 0.5000, 0.5000).



[27]
Material: TiCdSe2N
Method: DFT, GGA-PBE
State: relaxed

Its distance to the lowest polymorph of the same formula is 0.0000 eV/atom.

The space group is P4/mmm (No. 123) and the conventional cell measures 5.1749, 5.1749 and 3.7712 Å, with angles of 90.00, 90.00 and 90.00 degrees. The inequivalent atoms are Ti at (0.0000, 0.0000, 0.0000), Cd at (0.5000, 0.5000, 0.5000), Se at (0.0000, 0.5000, 0.0000) and N at (0.0000, 0.0000, 0.5000).



[28]
Material: TiCdSe2N
Method: DFT, GGA-PBE
State: relaxed

Its distance to the lowest polymorph of the same formula is 1.2655 eV/atom.

The space group is P4/mmm (No. 123) and the conventional cell measures 5.1804, 5.1804 and 4.0362 Å, with angles of 90.00, 90.00 and 90.00 degrees. The inequivalent atoms are Ti at (0.0000, 0.0000, 0.0000), Cd at (0.5000, 0.5000, 0.5000), Se at (0.0000, 0.5000, 0.5000) and N at (0.5000, 0.5000, 0.0000).



[29]
Material: TiCdSeN2
Method: DFT, GGA-PBE
State: relaxed

Its distance to the lowest polymorph of the same formula is 0.0000 eV/atom.

The space group is P4/mmm (No. 123) and the conventional cell measures 3.8994, 3.8994 and 5.5909 Å, with angles of 90.00, 90.00 and 90.00 degrees. The inequivalent atoms are Ti at (0.0000, 0.0000, 0.0000), Cd at (0.5000, 0.5000, 0.5000), Se at (0.0000, 0.0000, 0.5000) and N at (0.0000, 0.5000, 0.0000).



Number 1: M_tot 0.0 μB per formula unit, ΔE_f (raw) 1.373 eV per atom. Number 2: M_tot 0.0 μB per formula unit, ΔE_f (raw) 0.753 eV per atom. Number 3: M_tot 3.6 μB per formula unit, ΔE_f (raw) 2.649 eV per atom. Number 4: M_tot 0.0 μB per formula unit, ΔE_f (raw) 1.796 eV per atom. Number 5: M_tot 0.0 μB per formula unit, ΔE_f (raw) 0.213 eV per atom. Number 6: M_tot 2.1 μB per formula unit, ΔE_f (raw) 1.232 eV per atom. Number 7: M_tot 3.4 μB per formula unit, ΔE_f (raw) 1.823 eV per atom. Number 8: M_tot 0.0 μB per formula unit, ΔE_f (raw) 0.093 eV per atom. Number 9: M_tot 0.0 μB per formula unit, ΔE_f (raw) 0.478 eV per atom. Number 10: M_tot 3.4 μB per formula unit, ΔE_f (raw) 1.423 eV per atom. Number 11: M_tot 2.2 μB per formula unit, ΔE_f (raw) 1.036 eV per atom. Number 12: M_tot 3.0 μB per formula unit, ΔE_f (raw) 0.945 eV per atom. Number 13: M_tot 2.8 μB per formula unit, ΔE_f (raw) 0.634 eV per atom. Number 14: M_tot 2.2 μB per formula unit, ΔE_f (raw) -0.003 eV per atom. Number 15: M_tot 1.7 μB per formula unit, ΔE_f (raw) 1.756 eV per atom. Number 16: M_tot 0.0 μB per formula unit, ΔE_f (raw) 0.159 eV per atom. Number 17: M_tot 0.1 μB per formula unit, ΔE_f (raw) 0.408 eV per atom. Number 18: M_tot 3.3 μB per formula unit, ΔE_f (raw) 2.316 eV per atom. Number 19: M_tot 1.0 μB per formula unit, ΔE_f (raw) 1.430 eV per atom. Number 20: M_tot 1.9 μB per formula unit, ΔE_f (raw) 1.153 eV per atom. Number 21: M_tot 0.0 μB per formula unit, ΔE_f (raw) 0.666 eV per atom. Number 22: M_tot 0.0 μB per formula unit, ΔE_f (raw) 1.104 eV per atom. Number 23: M_tot 4.0 μB per formula unit, ΔE_f (raw) 1.639 eV per atom. Number 24: M_tot 4.2 μB per formula unit, ΔE_f (raw) 1.620 eV per atom. Number 25: M_tot 0.0 μB per formula unit, ΔE_f (raw) 0.797 eV per atom. Number 26: M_tot 0.0 μB per formula unit, ΔE_f (raw) 1.579 eV per atom. Number 27: M_tot 0.6 μB per formula unit, ΔE_f (raw) -0.187 eV per atom. Number 28: M_tot 0.2 μB per formula unit, ΔE_f (raw) 1.079 eV per atom. Number 29: M_tot 0.0 μB per formula unit, ΔE_f (raw) 0.128 eV per atom.